## AgSbSeN2 (GGA-PBE)

Data for a geometry-optimized AgSbSeN2 structure.

Summary:
SG: P4/mmm
E: -4.23 eV per atom
magnetic moment: 0.88 μB per formula unit

Cell lengths 3.977, 3.977, 5.959 Å; angles 90.00, 90.00, 90.00 degrees
Element x y z (fractional)
1 Ag 0.000 0.000 0.000
2 Sb 0.500 0.500 0.500
3 Se 0.500 0.500 0.000
4 N 0.000 0.500 0.500
5 N 0.500 0.000 0.500

## AgSbSeN2 (GGA-PBE)

Data for a geometry-optimized AgSbSeN2 structure.

Summary:
SG: P4/mmm
E: -3.75 eV per atom
magnetic moment: 2.58 μB per formula unit

Cell lengths 4.205, 4.205, 5.399 Å; angles 90.00, 90.00, 90.00 degrees
Element x y z (fractional)
1 Ag 0.000 0.000 0.000
2 Sb 0.500 0.500 0.500
3 Se 0.000 0.000 0.500
4 N 0.000 0.500 0.000
5 N 0.500 0.000 0.000

## AgSbSe2N (GGA-PBE)

Data for a geometry-optimized AgSbSe2N structure.

Summary:
SG: P4/mmm
E: -3.49 eV per atom
magnetic moment: 1.83 μB per formula unit

Cell lengths 5.241, 5.241, 3.994 Å; angles 90.00, 90.00, 90.00 degrees
Element x y z (fractional)
1 Ag 0.000 0.000 0.000
2 Sb 0.500 0.500 0.500
3 Se 0.000 0.500 0.000
4 Se 0.500 0.000 0.000
5 N 0.000 0.000 0.500

## AgSbSe2N (GGA-PBE)

Data for a geometry-optimized AgSbSe2N structure.

Summary:
SG: P4/mmm
E: -3.60 eV per atom
magnetic moment: 1.00 μB per formula unit

Cell lengths 5.407, 5.407, 3.953 Å; angles 90.00, 90.00, 90.00 degrees
Element x y z (fractional)
1 Ag 0.000 0.000 0.000
2 Sb 0.500 0.500 0.500
3 Se 0.000 0.500 0.500
4 Se 0.500 0.000 0.500
5 N 0.500 0.500 0.000

## AgSnSbN2 (GGA-PBE)

Data for a geometry-optimized AgSnSbN2 structure.

Summary:
SG: P4/mmm
E: -4.17 eV per atom
magnetic moment: 0.00 μB per formula unit

Cell lengths 4.142, 4.142, 5.520 Å; angles 90.00, 90.00, 90.00 degrees
Element x y z (fractional)
1 Ag 0.000 0.000 0.000
2 Sn 0.000 0.000 0.500
3 Sb 0.500 0.500 0.000
4 N 0.000 0.500 0.500
5 N 0.500 0.000 0.500

## ThAgSbN (GGA-PBE)

Data for a geometry-optimized ThAgSbN structure.

Summary:
SG: P4/nmm
E: -6.61 eV per atom
magnetic moment: 0.00 μB per formula unit

Cell lengths 4.137, 4.137, 10.453 Å; angles 90.00, 90.00, 90.00 degrees
Element x y z (fractional)
1 Th 0.250 0.250 0.108
2 Th 0.750 0.750 0.892
3 Ag 0.250 0.750 0.500
4 Ag 0.750 0.250 0.500
5 Sb 0.250 0.250 0.690
6 Sb 0.750 0.750 0.310
7 N 0.250 0.750 0.000
8 N 0.750 0.250 0.000

## ZrAg2SbN (GGA-PBE)

Data for a geometry-optimized ZrAg2SbN structure.

Summary:
SG: P4/mmm
E: -4.25 eV per atom
magnetic moment: 0.00 μB per formula unit

Cell lengths 5.221, 5.221, 4.060 Å; angles 90.00, 90.00, 90.00 degrees
Element x y z (fractional)
1 Zr 0.000 0.000 0.000
2 Ag 0.000 0.500 0.500
3 Ag 0.500 0.000 0.500
4 Sb 0.500 0.500 0.500
5 N 0.500 0.500 0.000

## Sc12Ag3N5 (GGA-PBE)

Data for a geometry-optimized Sc12Ag3N5 structure.

Summary:
SG: Ia-3d
E: -7.12 eV per atom
magnetic moment: 0.00 μB per formula unit

Cell lengths 12.454, 12.454, 12.454 Å; angles 109.47, 109.47, 109.47 degrees
Element x y z (fractional)
1 Sc 0.013 0.197 0.111
2 Sc 0.013 0.316 0.902
3 Sc 0.086 0.697 0.684
4 Sc 0.086 0.889 0.402
5 Sc 0.098 0.611 0.414
6 Sc 0.098 0.987 0.684
7 Sc 0.111 0.013 0.197
8 Sc 0.111 0.598 0.914
9 Sc 0.184 0.197 0.586
10 Sc 0.184 0.487 0.598
11 Sc 0.197 0.111 0.013
12 Sc 0.197 0.586 0.184
13 Sc 0.303 0.316 0.914
14 Sc 0.303 0.487 0.389
15 Sc 0.316 0.902 0.013
16 Sc 0.316 0.914 0.303
17 Sc 0.389 0.303 0.487
18 Sc 0.389 0.586 0.902
19 Sc 0.402 0.086 0.889
20 Sc 0.402 0.816 0.513
21 Sc 0.414 0.098 0.611
22 Sc 0.414 0.816 0.803
23 Sc 0.487 0.389 0.303
24 Sc 0.487 0.598 0.184
25 Sc 0.513 0.402 0.816
26 Sc 0.513 0.611 0.697
27 Sc 0.586 0.184 0.197
28 Sc 0.586 0.902 0.389
29 Sc 0.598 0.184 0.487
30 Sc 0.598 0.914 0.111
31 Sc 0.611 0.414 0.098
32 Sc 0.611 0.697 0.513
33 Sc 0.684 0.086 0.697
34 Sc 0.684 0.098 0.987
35 Sc 0.697 0.513 0.611
36 Sc 0.697 0.684 0.086
37 Sc 0.803 0.414 0.816
38 Sc 0.803 0.889 0.987
39 Sc 0.816 0.513 0.402
40 Sc 0.816 0.803 0.414
41 Sc 0.889 0.402 0.086
42 Sc 0.889 0.987 0.803
43 Sc 0.902 0.013 0.316
44 Sc 0.902 0.389 0.586
45 Sc 0.914 0.111 0.598
46 Sc 0.914 0.303 0.316
47 Sc 0.987 0.684 0.098
48 Sc 0.987 0.803 0.889
49 Ag 0.125 0.250 0.375
50 Ag 0.125 0.375 0.750
51 Ag 0.250 0.375 0.125
52 Ag 0.250 0.875 0.625
53 Ag 0.375 0.125 0.250
54 Ag 0.375 0.750 0.125
55 Ag 0.625 0.250 0.875
56 Ag 0.625 0.875 0.750
57 Ag 0.750 0.125 0.375
58 Ag 0.750 0.625 0.875
59 Ag 0.875 0.625 0.250
60 Ag 0.875 0.750 0.625
61 N 0.000 0.000 0.000
62 N 0.000 0.000 0.500
63 N 0.000 0.500 0.000
64 N 0.000 0.500 0.500
65 N 0.125 0.750 0.875
66 N 0.125 0.875 0.250
67 N 0.250 0.125 0.875
68 N 0.250 0.625 0.375
69 N 0.375 0.250 0.625
70 N 0.375 0.625 0.750
71 N 0.500 0.000 0.000
72 N 0.500 0.000 0.500
73 N 0.500 0.500 0.000
74 N 0.500 0.500 0.500
75 N 0.625 0.375 0.250
76 N 0.625 0.750 0.375
77 N 0.750 0.375 0.625
78 N 0.750 0.875 0.125
79 N 0.875 0.125 0.750
80 N 0.875 0.250 0.125

What is the E in the seventh record? -4.25 eV per atom